(1)
The following is a DFT calculation (PBE) of a geometry-optimized LaNiMo2 structure.

Calculated values
The energy above the lowest structure with this stoichiometry comes out at 477 meV/atom. The symmetry is Cmmm (65). The calculation puts the formation energy from the elements at 0.694 eV/atom.

Cell lengths 5.612, 5.612, 2.745 Å; angles 90.00, 90.00, 123.12 degrees
Atoms (fractional coordinates):
La (0.000, 0.000, 0.000)
Ni (0.500, 0.500, 0.000)
Mo (0.000, 0.500, 0.500)
Mo (0.500, 0.000, 0.500)

(2)
The following is a DFT calculation (PBE) of a geometry-optimized TeRhN2O structure.

Calculated values
The symmetry is P4/mmm (123). As for the uncorrected formation energy: 0.9353 eV/atom.

Cell lengths 3.937, 3.937, 3.986 Å; angles 90.00, 90.00, 90.00 degrees
Atoms (fractional coordinates):
Te (0.000, 0.000, 0.000)
Rh (0.500, 0.500, 0.500)
N (0.000, 0.500, 0.500)
N (0.500, 0.000, 0.500)
O (0.500, 0.500, 0.000)

(3)
The following is a DFT calculation (PBE) of a geometry-optimized Sc7Tc structure.

Calculated values
The symmetry is Fm-3m (225). The calculation puts the formation energy from the elements at 0.076 eV/atom.

Cell lengths 6.279, 6.279, 6.279 Å; angles 60.00, 60.00, 60.00 degrees
Atoms (fractional coordinates):
Sc (0.000, 0.000, 0.000)
Sc (0.000, 0.000, 0.500)
Sc (0.000, 0.500, 0.000)
Sc (0.000, 0.500, 0.500)
Sc (0.500, 0.000, 0.000)
Sc (0.500, 0.000, 0.500)
Sc (0.500, 0.500, 0.000)
Tc (0.500, 0.500, 0.500)

(4)
The following is a DFT calculation (PBE) of a geometry-optimized YIn6S8 structure.

Calculated values
The symmetry is R-3 (148). As for the uncorrected formation energy: -0.5160 eV/atom.

Cell lengths 7.175, 7.175, 7.175 Å; angles 94.99, 94.99, 94.99 degrees
Atoms (fractional coordinates):
Y (0.000, 0.000, 0.000)
In (0.225, 0.338, 0.620)
In (0.338, 0.620, 0.225)
In (0.380, 0.775, 0.662)
In (0.620, 0.225, 0.338)
In (0.662, 0.380, 0.775)
In (0.775, 0.662, 0.380)
S (0.099, 0.831, 0.356)
S (0.169, 0.644, 0.901)
S (0.257, 0.257, 0.257)
S (0.356, 0.099, 0.831)
S (0.644, 0.901, 0.169)
S (0.743, 0.743, 0.743)
S (0.831, 0.356, 0.099)
S (0.901, 0.169, 0.644)

(5)
The following is a DFT calculation (PBE) of a geometry-optimized Tb5Pm2Er4 structure.

Calculated values
The energy above the lowest structure with this stoichiometry comes out at 0 meV/atom. The symmetry is P-1 (2). The calculation puts the formation energy from the elements at 0.018 eV/atom.

Cell lengths 3.555, 8.711, 11.794 Å; angles 75.83, 81.38, 90.00 degrees
Atoms (fractional coordinates):
Tb (0.000, 0.000, 0.000)
Tb (0.273, 0.184, 0.455)
Tb (0.363, 0.907, 0.273)
Tb (0.637, 0.093, 0.727)
Tb (0.727, 0.816, 0.545)
Pm (0.090, 0.726, 0.819)
Pm (0.910, 0.274, 0.181)
Er (0.182, 0.454, 0.636)
Er (0.454, 0.637, 0.093)
Er (0.546, 0.363, 0.907)
Er (0.818, 0.546, 0.364)

(6)
The following is a DFT calculation (PBE) of a geometry-optimized TbErTm4Sc2 structure.

Calculated values
The symmetry is P4/mmm (123). The calculation puts the formation energy from the elements at 0.044 eV/atom.

Cell lengths 4.877, 4.877, 9.703 Å; angles 90.00, 90.00, 90.00 degrees
Atoms (fractional coordinates):
Tb (0.000, 0.000, 0.000)
Er (0.500, 0.500, 0.500)
Tm (0.000, 0.500, 0.251)
Tm (0.000, 0.500, 0.749)
Tm (0.500, 0.000, 0.251)
Tm (0.500, 0.000, 0.749)
Sc (0.000, 0.000, 0.500)
Sc (0.500, 0.500, 0.000)

(7)
The following is a DFT calculation (PBE) of a geometry-optimized SrIn3Au3 structure.

Calculated values
The energy above the lowest structure with this stoichiometry comes out at 315 meV/atom. The symmetry is Pm-3n (223). The calculation puts the formation energy from the elements at -0.165 eV/atom.

Cell lengths 7.612, 7.612, 7.612 Å; angles 90.00, 90.00, 90.00 degrees
Atoms (fractional coordinates):
Sr (0.000, 0.000, 0.000)
Sr (0.500, 0.500, 0.500)
In (0.000, 0.250, 0.500)
In (0.000, 0.750, 0.500)
In (0.250, 0.500, 0.000)
In (0.500, 0.000, 0.250)
In (0.500, 0.000, 0.750)
In (0.750, 0.500, 0.000)
Au (0.000, 0.500, 0.250)
Au (0.000, 0.500, 0.750)
Au (0.250, 0.000, 0.500)
Au (0.500, 0.250, 0.000)
Au (0.500, 0.750, 0.000)
Au (0.750, 0.000, 0.500)

(8)
The following is a DFT calculation (PBE) of a geometry-optimized Na2PrNdS4 structure.

Calculated values
The symmetry is P2/m (10). As for the uncorrected formation energy: -1.7874 eV/atom.

Cell lengths 7.112, 4.149, 7.187 Å; angles 90.00, 109.67, 90.00 degrees
Atoms (fractional coordinates):
Na (0.000, 0.000, 0.000)
Na (0.000, 0.500, 0.500)
Pr (0.500, 0.000, 0.500)
Nd (0.500, 0.500, 0.000)
S (0.266, 0.000, 0.757)
S (0.266, 0.500, 0.254)
S (0.734, 0.000, 0.243)
S (0.734, 0.500, 0.746)

(9)
The following is a DFT calculation (PBE) of a geometry-optimized DyCd3Au4 structure.

Calculated values
The symmetry is I4/mmm (139). The calculation puts the formation energy from the elements at -0.425 eV/atom.

Cell lengths 7.626, 7.626, 7.626 Å; angles 142.48, 142.48, 54.11 degrees
Atoms (fractional coordinates):
Dy (0.000, 0.000, 0.000)
Cd (0.253, 0.253, 0.000)
Cd (0.500, 0.500, 0.000)
Cd (0.747, 0.747, 0.000)
Au (0.128, 0.628, 0.500)
Au (0.372, 0.872, 0.500)
Au (0.628, 0.128, 0.500)
Au (0.872, 0.372, 0.500)

(10)
The following is a DFT calculation (PBE) of a geometry-optimized Pm6Al2Au structure.

Calculated values
The symmetry is C2/m (12). The calculation puts the formation energy from the elements at -0.154 eV/atom.

Cell lengths 8.883, 8.883, 5.086 Å; angles 106.57, 106.57, 48.87 degrees
Atoms (fractional coordinates):
Pm (0.081, 0.589, 0.335)
Pm (0.247, 0.753, 0.000)
Pm (0.411, 0.919, 0.665)
Pm (0.589, 0.081, 0.335)
Pm (0.753, 0.247, 0.000)
Pm (0.919, 0.411, 0.665)
Al (0.333, 0.333, 0.833)
Al (0.667, 0.667, 0.167)
Au (0.000, 0.000, 0.500)

Total moment values, unit μB per atom, following the record order: 0.000 0.000 0.000 0.000 0.000 0.000 0.000 0.000 0.000 0.000.
Mass density values, unit kg/m3, following the record order: 8935 7377 3915 4707 8324 7855 7703 3819 13085 6485.